PuPaFe2P2 | GGA-PBE | optimized geometry

Calculated values
- uncorrected energy (eV per atom) = -9.45
- density of states at the Fermi level (states/eV per cell) = 10.30
- SG = P-3m1 (164)
- energy of formation from the pure elements (eV/f.u.) = -5.1

```
data_PuPaFe2P2
_chemical_formula_sum 'Pu1 Pa1 Fe2 P2'
_cell_length_a 3.9477
_cell_length_b 3.9477
_cell_length_c 7.4002
_cell_angle_alpha 90.00
_cell_angle_beta 90.00
_cell_angle_gamma 120.00
_space_group_name_H-M_alt 'P 1'
_space_group_IT_number 1
_space_group_name_Hall 'P 1'
loop_
_atom_site_label
_atom_site_fract_x
_atom_site_fract_y
_atom_site_fract_z
Pu1 0.0000 0.0000 0.0000
P1 0.3333 0.6667 0.2548
P2 0.6667 0.3333 0.7452
Fe1 0.6667 0.3333 0.2428
Fe2 0.3333 0.6667 0.7572
Pa1 0.0000 0.0000 0.5000
```